TbPm3Co2 PBE-GGA optimized geometry; total magnetic moment = 0.000 Bohr magnetons per cell; energy above the lowest structure with this stoichiometry = 91 meV/atom; formation enthalpy at 0 K = 0 meV per atom
1.0
-3.347 6.722 3.518
3.347 -6.722 3.518
3.347 6.722 -3.518
Tb Pm Co
2 6 4
Direct
0.000 0.000 0.000
0.500 0.500 0.000
0.014 0.250 0.764
0.250 0.750 0.500
0.486 0.250 0.236
0.514 0.750 0.764
0.750 0.250 0.500
0.986 0.750 0.236
0.135 0.723 0.857
0.365 0.223 0.588
0.635 0.777 0.412
0.865 0.277 0.143